[1]
DFT (meta-GGA SCAN) results for a crystal of La2ZnCd relaxed with PBEsol.

Output
The total magnetization is 0.00 Bohr magnetons per cell. The crystal system is orthorhombic. Its space-group type is Pmm2, No. 25.

a b c (Å): 3.673 5.130 5.494
angles (deg): 90.00 90.00 90.00
Positions (direct):
La 0.000 0.000 0.000
La 0.000 0.500 0.384
Zn 0.500 0.500 0.869
Cd 0.500 0.000 0.523



[2]
DFT (meta-GGA SCAN) results for a crystal of La2ZnCd relaxed with PBEsol.

Output
The total magnetization is 0.00 Bohr magnetons per cell. The crystal system is orthorhombic. Its space-group type is Imm2, No. 44.

a b c (Å): 6.217 6.217 6.217
angles (deg): 145.10 130.39 62.09
Positions (direct):
La 0.000 0.000 0.000
La 0.716 0.216 0.500
Zn 0.253 0.753 0.500
Cd 0.439 0.439 0.000



| no. | formation enthalpy at 0 K (eV per atom) |
| --- | --- |
| 1 | -0.381 |
| 2 | -0.345 |